one.
VASP calculation (PBE) on an optimized crystal structure of LiPmPb.

abc: 8.5569 10.0659 14.5149
angles: 90.00 90.00 90.00
Last column: nearest neighbours and their distance in Å.
Space group Fddd (No. 70, origin choice 2)
Asymmetric unit:
Li: 0.1250 0.0023 0.1250 [16 per cell]  1 Li 2.47, 2 Pb 2.74
Pm: 0.0000 0.0000 0.5000 [16 per cell]  4 Li 3.30-3.69, 2 Pm 3.30, 4 Pb 3.37-3.51
Pb: 0.1250 0.1250 0.2974 [16 per cell]  4 Li 2.74-2.79

Calculated values
Volume ... 26.05 Å³/atom

---

two.
VASP calculation (PBE) on an optimized crystal structure of LiPmPb.

abc: 4.8907 4.8907 3.7165
angles: 90.00 90.00 120.00
Last column: nearest neighbours and their distance in Å.
Space group P-6m2 (No. 187)
Asymmetric unit:
Li: 0.0000 0.0000 0.0000 [1 per cell]  3 Pb 2.82
Pm: 0.6667 0.3333 0.5000 [1 per cell]  6 Li 3.38, 6 Pb 3.38, 2 Pm 3.72
Pb: 0.3333 0.6667 0.0000 [1 per cell]  3 Li 2.82

Calculated values
Volume ... 25.66 Å³/atom

---

Which structure is the least stable? The one labeled one.

---

one.
VASP calculation (PBE) on an optimized crystal structure of LiPmPb.

abc: 4.2898 4.2898 9.0051
angles: 90.00 90.00 90.00
Last column: nearest neighbours and their distance in Å.
Space group I4mm (No. 107)
Asymmetric unit:
Li: 0.0000 0.0000 0.0000 [2 per cell]  1 Pb 2.88, 1 Pm 2.99
Pm: 0.0000 0.0000 0.3315 [2 per cell]  1 Li 2.99, 5 Pb 3.14-3.33
Pb: 0.0000 0.0000 0.6802 [2 per cell]  1 Li 2.88, 1 Pm 3.14

Calculated values
Volume ... 27.62 Å³/atom

---

two.
VASP calculation (PBE) on an optimized crystal structure of LiPmPb.

abc: 4.8185 4.8185 7.6459
angles: 90.00 90.00 120.00
Last column: nearest neighbours and their distance in Å.
Space group P6_3/mmc (No. 194)
Asymmetric unit:
Li: 0.3333 0.6667 0.2500 [2 per cell]  3 Pb 2.78
Pm: 0.0000 0.0000 0.0000 [2 per cell]  6 Pb 3.38, 6 Li 3.38
Pb: 0.3333 0.6667 0.7500 [2 per cell]  3 Li 2.78

Calculated values
Volume ... 25.62 Å³/atom

---

Which structure is the least stable? The one labeled one.

---

one.
VASP calculation (PBE) on an optimized crystal structure of Li2PmPb2.

abc: 8.5339 8.5339 3.2564
angles: 90.00 90.00 90.00
Last column: nearest neighbours and their distance in Å.
Space group P4/mbm (No. 127)
Asymmetric unit:
Li: 0.1145 0.3855 0.0000 [4 per cell]  1 Li 2.76, 6 Pb 2.98-3.03
Pm: 0.0000 0.0000 0.0000 [2 per cell]  2 Pm 3.26, 4 Li 3.43, 8 Pb 3.54
Pb: 0.1782 0.6782 0.5000 [4 per cell]  6 Li 2.98-3.03, 2 Pb 3.26

Calculated values
Volume ... 23.72 Å³/atom

---

two.
VASP calculation (PBE) on an optimized crystal structure of Li2PmPb2.

abc: 13.4737 4.4047 4.4048
angles: 90.00 109.00 90.00
Last column: nearest neighbours and their distance in Å.
Space group C2/m (No. 12)
Asymmetric unit:
Li: 0.2500 0.0000 0.2491 [4 per cell]  4 Pb 2.78-2.79, 2 Li 3.11
Pm: 0.0000 0.5000 0.0000 [2 per cell]  8 Pb 3.45
Pb: 0.1163 0.0000 0.6157 [4 per cell]  4 Li 2.78-2.79, 1 Pb 2.96

Calculated values
Volume ... 24.72 Å³/atom

---

Which structure is the least stable? The one labeled one.

---

one.
VASP calculation (PBE) on an optimized crystal structure of LiPmSnPb.

abc: 4.5337 4.7101 4.8244
angles: 90.00 90.00 90.00
Last column: nearest neighbours and their distance in Å.
Space group Pmmm (No. 47)
Asymmetric unit:
Li: 0.0000 0.0000 0.0000 [1 per cell]  4 Pb 3.27, 4 Sn 3.31, 4 Pm 3.37
Pm: 0.0000 0.5000 0.5000 [1 per cell]  4 Sn 3.27, 4 Pb 3.31, 4 Li 3.37
Sn: 0.5000 0.0000 0.5000 [1 per cell]  4 Pm 3.27, 4 Li 3.31, 4 Pb 3.37
Pb: 0.5000 0.5000 0.0000 [1 per cell]  4 Li 3.27, 4 Pm 3.31, 4 Sn 3.37

Calculated values
Volume ... 25.76 Å³/atom

---

two.
VASP calculation (PBE) on an optimized crystal structure of LiPmSnPb.

abc: 7.5364 7.5364 7.5364
angles: 90.00 90.00 90.00
Last column: nearest neighbours and their distance in Å.
Space group F-43m (No. 216)
Asymmetric unit:
Li: 0.0000 0.0000 0.0000 [4 per cell]  4 Sn 3.26, 4 Pb 3.26
Pm: 0.0000 0.0000 0.5000 [4 per cell]  4 Pb 3.26, 4 Sn 3.26
Sn: 0.2500 0.2500 0.7500 [4 per cell]  4 Li 3.26, 4 Pm 3.26
Pb: 0.2500 0.2500 0.2500 [4 per cell]  4 Li 3.26, 4 Pm 3.26

Calculated values
Volume ... 26.75 Å³/atom

---

Which structure is the least stable? The one labeled two.